The following is a DFT calculation (GGA-PBE) of a geometry-optimized LaPm10Sm4 structure.

Geometry as POSCAR:
```
LaPm10Sm4
1.0
9.962 0.000 4.498
4.981 7.080 2.249
2.068 0.000 8.702
Pm Sm La
10 4 1
Direct
0.052 0.897 0.658
0.750 0.500 0.500
0.949 0.658 0.103
0.290 0.658 0.103
0.948 0.103 0.342
0.607 0.103 0.342
0.393 0.897 0.658
0.710 0.342 0.897
0.250 0.500 0.500
0.051 0.342 0.897
0.220 0.223 0.337
0.780 0.777 0.663
0.443 0.337 0.777
0.557 0.663 0.223
0.000 0.000 0.000
```

Formation energy from the elements, eV/atom: 0.4156